ZnCu2Ir meta-GGA SCAN single point on PBEsol structure; total moment = 0.0 μB/f.u.; volume = 50.28 Å³/f.u.; crystal system = monoclinic; calculated formation energy = -0.0454 eV per atom; space-group type = Cm, No. 8
1.0
9.363 0.000 0.000
0.000 2.736 0.000
-1.930 0.000 3.925
Zn Cu Ir
2 4 2
Direct
0.000 0.000 0.000 Zn
0.500 0.500 0.000 Zn
0.247 0.500 0.383 Cu
0.493 0.000 0.490 Cu
0.747 0.000 0.383 Cu
0.993 0.500 0.490 Cu
0.246 0.000 0.880 Ir
0.746 0.500 0.880 Ir

***

Zn2CuIr meta-GGA SCAN single point on PBEsol structure; total moment = 0.0 μB/f.u.; volume = 51.95 Å³/f.u.; crystal system = orthorhombic; calculated formation energy = -0.1388 eV per atom; space-group type = Imm2, No. 44
1.0
2.988 0.000 0.000
0.000 4.125 0.000
0.000 0.000 8.430
Zn Cu Ir
4 2 2
Direct
0.000 0.000 0.000 Zn
0.000 0.500 0.249 Zn
0.500 0.000 0.749 Zn
0.500 0.500 0.500 Zn
0.000 0.500 0.739 Cu
0.500 0.000 0.239 Cu
0.000 0.000 0.495 Ir
0.500 0.500 0.995 Ir

***

ZnCu2Ir meta-GGA SCAN single point on PBEsol structure; total moment = 0.0 μB/f.u.; volume = 50.86 Å³/f.u.; crystal system = monoclinic; calculated formation energy = -0.0191 eV per atom; space-group type = Cm, No. 8
1.0
4.598 0.000 0.000
0.000 2.658 0.000
-1.572 0.000 8.324
Zn Cu Ir
2 4 2
Direct
0.000 0.000 0.000 Zn
0.500 0.500 0.000 Zn
0.249 0.500 0.246 Cu
0.495 0.000 0.484 Cu
0.749 0.000 0.246 Cu
0.995 0.500 0.484 Cu
0.247 0.000 0.741 Ir
0.747 0.500 0.741 Ir